5
Lattice="4.7876 0.0000 0.0000 0.0000 4.7876 0.0000 0.0000 0.0000 4.7876" Properties=species:S:1:pos:R:3 comment="PBE Ta3GaRu, relaxed" m_tot_mub_per_fu=0.0 delta_e_f_mev_per_atom=1026 dos_ef_per_ev_fu=3.9 final_energy_ev_per_atom=-8.546 vol_a3_per_atom=21.95 pbc="T T T"
Ta 0.0000 0.0000 2.3938
Ta 0.0000 2.3938 0.0000
Ta 2.3938 0.0000 0.0000
Ga 2.3938 2.3938 2.3938
Ru 0.0000 0.0000 0.0000